VASP calculation (GGA-PBEsol) on crystalline RbNbWO2 at its relaxed geometry.

The value obtained for the total energy is -0.481 Ry/atom. The calculation puts the density of states at the Fermi level at 4.93 states/eV/f.u. Its size of the total moment is 3.5 μB/cell. The formation energy (no corrections) is 66 kJ/mol of atoms.

It has space group P4/mmm (No. 123), with a = 3.9018 Å, b = 3.9018 Å, c = 6.8529 Å, α = 90.00°, β = 90.00° and γ = 90.00°. The distinct sites, in fractional coordinates, are Rb at (0.0000, 0.0000, 0.0000), Nb at (0.5000, 0.5000, 0.0000), W at (0.0000, 0.0000, 0.5000) and O at (0.0000, 0.5000, 0.5000).